(1)
This record from the Alexandria database describes a relaxed structure of Tb8HgTe4Se3. The functional is PBE.

Lattice parameters (Å, degrees): 8.4914 8.5986 8.4912 119.59 120.00 90.00
With the nearest neighbours (Å) after each atom.
Positions (direct):
Tb (0.7386, 0.7172, 0.4772)  3 Se 2.89, 3 Te 3.16-3.17
Tb (0.2614, 0.2828, 0.5228)  3 Se 2.89, 3 Te 3.16-3.17
Tb (0.7562, 0.2727, 0.0161)  2 Se 2.92, 1 Hg 2.94, 3 Te 3.10-3.13
Tb (0.2438, 0.7273, 0.9839)  2 Se 2.92, 1 Hg 2.94, 3 Te 3.10-3.13
Hg (0.0000, 0.5000, 0.0000)  6 Tb 2.94
Te (0.0000, 0.0000, 0.5000)  6 Tb 3.12-3.16
Tb (0.2598, 0.2727, 0.0161)  2 Se 2.92, 1 Hg 2.94, 3 Te 3.10-3.13
Se (0.5000, 0.5000, 0.0000)  6 Tb 2.89-2.92
Se (0.5000, 0.5000, 0.5000)  6 Tb 2.89-2.92
Se (0.0000, 0.5000, 0.5000)  6 Tb 2.89-2.92
Te (0.5000, 0.0000, 0.0000)  6 Tb 3.10-3.11
Te (0.0000, 0.0000, 0.0000)  6 Tb 3.13-3.17
Tb (0.2434, 0.7259, 0.4868)  2 Se 2.92, 1 Hg 2.94, 3 Te 3.11-3.13
Tb (0.7402, 0.7273, 0.9839)  2 Se 2.92, 1 Hg 2.94, 3 Te 3.10-3.13
Tb (0.7566, 0.2741, 0.5132)  2 Se 2.92, 1 Hg 2.94, 3 Te 3.11-3.13
Te (0.5000, 0.0000, 0.5000)  6 Tb 3.12-3.16

(2)
This record from the Alexandria database describes a relaxed structure of Tl2Hg. The functional is PBE.

Lattice parameters (Å, degrees): 3.5357 3.5357 8.4538 77.93 77.93 60.00
With the nearest neighbours (Å) after each atom.
Positions (direct):
Hg (0.0000, 0.0000, 0.0000)  6 Tl 3.35, 6 Hg 3.54
Tl (0.7744, 0.7744, 0.6767)  3 Hg 3.35, 9 Tl 3.54-3.55
Tl (0.2256, 0.2256, 0.3233)  3 Hg 3.35, 9 Tl 3.54-3.55

Output
Energy of formation from the pure elements (eV per atom): 0.013
Energy above the lowest structure with this stoichiometry (eV/f.u.): 0.06

(3)
This record from the Alexandria database describes a relaxed structure of LiVAu3. The functional is PBE.

Lattice parameters (Å, degrees): 4.9362 4.9362 4.9362 90.00 90.00 90.00
With the nearest neighbours (Å) after each atom.
Positions (direct):
V (0.0000, 0.0000, 0.0000)  6 Au 2.47
Au (0.5000, 0.0000, 0.0000)  2 V 2.47
Au (0.0000, 0.5000, 0.0000)  2 V 2.47
Au (0.0000, 0.0000, 0.5000)  2 V 2.47
Li (0.5000, 0.5000, 0.5000)  12 Au 3.49

Output
Energy of formation from the pure elements (eV per atom): 0.484
Energy above the lowest structure with this stoichiometry (eV/f.u.): 0.62

(4)
This record from the Alexandria database describes a relaxed structure of SmHoTl2. The functional is PBE.

Lattice parameters (Å, degrees): 3.8188 3.8188 7.6350 90.00 90.00 90.00
With the nearest neighbours (Å) after each atom.
Positions (direct):
Tl (0.0000, 0.0000, 0.2415)  4 Ho 3.27, 4 Sm 3.34
Tl (0.0000, 0.0000, 0.7585)  4 Ho 3.27, 4 Sm 3.34
Ho (0.5000, 0.5000, 0.0000)  8 Tl 3.27
Sm (0.5000, 0.5000, 0.5000)  8 Tl 3.34

Output
Energy of formation from the pure elements (eV per atom): -0.358
Energy above the lowest structure with this stoichiometry (eV/f.u.): 0.00

(5)
This record from the Alexandria database describes a relaxed structure of KLiBi2Se4. The functional is PBE.

Lattice parameters (Å, degrees): 4.2689 7.5031 14.9312 90.00 90.00 106.53
With the nearest neighbours (Å) after each atom.
Positions (direct):
Se (0.0000, 0.0000, 0.5000)  4 Bi 3.03
Bi (0.6341, 0.2682, 0.0632)  6 Se 2.94-3.03
Se (0.7353, 0.4705, 0.8882)  1 Li 2.58
K (0.1079, 0.2158, 0.7500)  6 Se 3.29-3.49
Bi (0.3659, 0.7318, 0.5632)  6 Se 2.94-3.03
Bi (0.6341, 0.2682, 0.4368)  6 Se 2.94-3.03
Se (0.2647, 0.5295, 0.3882)  1 Li 2.58
Se (0.5658, 0.1315, 0.2500)  2 Li 2.51
Se (0.7353, 0.4705, 0.6118)  1 Li 2.58
Bi (0.3659, 0.7318, 0.9368)  6 Se 2.94-3.03
Se (0.4342, 0.8685, 0.7500)  2 Li 2.51
K (0.8921, 0.7842, 0.2500)  6 Se 3.29-3.49
Li (0.8429, 0.6859, 0.7500)  4 Se 2.51-2.58
Li (0.1571, 0.3141, 0.2500)  4 Se 2.51-2.58
Se (0.2647, 0.5295, 0.1118)  1 Li 2.58
Se (0.0000, 0.0000, 0.0000)  4 Bi 3.03

(6)
This record from the Alexandria database describes a relaxed structure of LiTlBi2Se4. The functional is PBE.

Lattice parameters (Å, degrees): 4.2565 7.4169 15.0217 90.00 90.00 106.68
With the nearest neighbours (Å) after each atom.
Positions (direct):
Se (0.0000, 0.0000, 0.0000)  4 Bi 3.02
Se (0.7325, 0.4651, 0.6119)  1 Li 2.57
Bi (0.6351, 0.2701, 0.4374)  6 Se 2.94-3.02
Bi (0.3649, 0.7299, 0.9374)  6 Se 2.94-3.02
Se (0.0000, 0.0000, 0.5000)  4 Bi 3.02
Tl (0.8954, 0.7908, 0.2500)  6 Se 3.22-3.48
Tl (0.1046, 0.2092, 0.7500)  6 Se 3.22-3.48
Li (0.1606, 0.3213, 0.2500)  4 Se 2.52-2.57
Bi (0.3649, 0.7299, 0.5626)  6 Se 2.94-3.02
Bi (0.6351, 0.2701, 0.0626)  6 Se 2.94-3.02
Li (0.8394, 0.6787, 0.7500)  4 Se 2.52-2.57
Se (0.2675, 0.5349, 0.1119)  1 Li 2.57
Se (0.2675, 0.5349, 0.3881)  1 Li 2.57
Se (0.7325, 0.4651, 0.8881)  1 Li 2.57
Se (0.5655, 0.1309, 0.2500)  2 Li 2.52
Se (0.4345, 0.8691, 0.7500)  2 Li 2.52

(7)
This record from the Alexandria database describes a relaxed structure of KAl2Re. The functional is PBE.

Lattice parameters (Å, degrees): 2.8003 2.8003 10.1226 90.00 90.00 108.48
With the nearest neighbours (Å) after each atom.
Positions (direct):
K (0.0000, 0.0000, 0.5071)  4 K 2.80
Re (0.5000, 0.5000, 0.7923)  2 Al 2.59, 4 Re 2.80
Al (0.5000, 0.5000, 0.2105)  6 Al 2.77-2.80
Al (0.0000, 0.0000, 0.9902)  2 Re 2.59, 6 Al 2.77-2.80

Output
Energy of formation from the pure elements (eV per atom): 0.541
Energy above the lowest structure with this stoichiometry (eV/f.u.): 1.22

(8)
This record from the Alexandria database describes a relaxed structure of Dy2CuF. The functional is PBE.

Lattice parameters (Å, degrees): 3.9241 3.9241 6.3594 72.03 72.03 60.00
With the nearest neighbours (Å) after each atom.
Positions (direct):
F (0.0000, 0.0000, 0.0000)  6 Dy 2.65
Cu (0.5000, 0.5000, 0.5000)  6 Dy 2.77
Dy (0.7440, 0.7440, 0.7681)  3 F 2.65, 3 Cu 2.77
Dy (0.2560, 0.2560, 0.2319)  3 F 2.65, 3 Cu 2.77

Quick rundown of spin magnetization, same order as above: 0.0; 0.0; 0.4; 0.0; 0.0; 0.0; 0.0; 0.0 μB per cell
Quick rundown of total DFT energy (no corrections), same order as above: -82.7; -5.0; -18.4; -15.5; -61.4; -60.9; -18.9; -20.0 eV/cell